(1)
First-principles (GGA-PBE) data for K2CeCl4 after structural relaxation, as listed in Alexandria.

Computed properties:
* ΔE_f (raw): -1.83 eV per atom
* space group: I4/mmm, No. 139

a = 5.6191 Å, b = 5.6191 Å, c = 9.0508 Å
α = 108.08°, β = 108.08°, γ = 90.00°
With the nearest neighbours (Å) after each atom.
Sites, in units of the cell vectors:
K1 0.6396 0.6396 0.2791  1 Cl 3.05
K2 0.3604 0.3604 0.7209  1 Cl 3.05
Ce1 0.0000 0.0000 0.0000  6 Cl 2.81
Cl1 0.8273 0.8273 0.6546  1 Ce 2.81, 1 K 3.05
Cl2 0.1727 0.1727 0.3454  1 Ce 2.81, 1 K 3.05
Cl3 0.0000 0.5000 0.0000  2 Ce 2.81
Cl4 0.5000 0.0000 0.0000  2 Ce 2.81

(2)
First-principles (GGA-PBE) data for K2RbNa10 after structural relaxation, as listed in Alexandria.

Computed properties:
* space group: Cmcm, No. 63
* energy relative to the elements: 0.64 eV per formula unit

a = 10.0427 Å, b = 10.0427 Å, c = 12.4396 Å
α = 90.00°, β = 90.00°, γ = 101.71°
With the nearest neighbours (Å) after each atom.
Sites, in units of the cell vectors:
K1 0.5000 0.0000 0.0000  10 Na 3.86-4.21
K2 0.5000 0.0000 0.5000  10 Na 3.86-4.21
K3 0.0000 0.5000 0.5000  10 Na 3.86-4.21
K4 0.0000 0.5000 0.0000  10 Na 3.86-4.21
Rb1 0.8751 0.1249 0.7500  14 Na 4.43-4.89, 4 K 4.85
Rb2 0.1249 0.8751 0.2500  14 Na 4.43-4.89, 4 K 4.85
Na1 0.3547 0.1493 0.7500  7 Na 3.52-3.72, 2 K 3.86
Na2 0.6453 0.8507 0.2500  7 Na 3.52-3.72, 2 K 3.86
Na3 0.8507 0.6453 0.7500  7 Na 3.52-3.72, 2 K 3.86
Na4 0.1493 0.3547 0.2500  7 Na 3.52-3.72, 2 K 3.86
Na5 0.5204 0.7496 0.7500  2 Na 3.42-3.68
Na6 0.4796 0.2504 0.2500  2 Na 3.42-3.68
Na7 0.2504 0.4796 0.7500  2 Na 3.42-3.68
Na8 0.7496 0.5204 0.2500  2 Na 3.42-3.68
Na9 0.8639 0.1361 0.3911  5 Na 3.51-3.78, 2 K 3.88
Na10 0.1361 0.8639 0.8911  5 Na 3.51-3.78, 2 K 3.88
Na11 0.8639 0.1361 0.1089  5 Na 3.51-3.78, 2 K 3.88
Na12 0.1361 0.8639 0.6089  5 Na 3.51-3.78, 2 K 3.88
Na13 0.5879 0.4121 0.9093  6 Na 3.55-3.96
Na14 0.4121 0.5879 0.4093  6 Na 3.55-3.96
Na15 0.5879 0.4121 0.5907  6 Na 3.55-3.96
Na16 0.4121 0.5879 0.0907  6 Na 3.55-3.96
Na17 0.7775 0.7775 0.0000  4 Na 3.52-3.78, 2 K 3.91
Na18 0.2225 0.2225 0.5000  4 Na 3.52-3.78, 2 K 3.91
Na19 0.2225 0.2225 0.0000  4 Na 3.52-3.78, 2 K 3.91
Na20 0.7775 0.7775 0.5000  4 Na 3.52-3.78, 2 K 3.91

(3)
First-principles (GGA-PBE) data for Cu3PdAu after structural relaxation, as listed in Alexandria.

Computed properties:
* space group: Pm-3m, No. 221
* energy relative to the elements: 4.53 eV per formula unit

a = 4.6246 Å, b = 4.6246 Å, c = 4.6246 Å
α = 90.00°, β = 90.00°, γ = 90.00°
With the nearest neighbours (Å) after each atom.
Sites, in units of the cell vectors:
Au1 0.5000 0.5000 0.5000  12 Cu 3.27
Cu1 0.0000 0.5000 0.0000  2 Pd 2.31
Cu2 0.0000 0.0000 0.5000  2 Pd 2.31
Cu3 0.5000 0.0000 0.0000  2 Pd 2.31
Pd1 0.0000 0.0000 0.0000  6 Cu 2.31

(4)
First-principles (GGA-PBE) data for CdHg2Pd4 after structural relaxation, as listed in Alexandria.

Computed properties:
* space group: I4/mmm, No. 139
* energy relative to the elements: -0.72 eV per formula unit

a = 5.6553 Å, b = 5.6553 Å, c = 5.6553 Å
α = 96.13°, β = 116.53°, γ = 116.53°
With the nearest neighbours (Å) after each atom.
Sites, in units of the cell vectors:
Cd1 0.0000 0.0000 0.0000  8 Pd 2.83, 4 Hg 2.97
Hg1 0.5000 0.5000 0.0000  8 Pd 2.83, 2 Cd 2.97
Hg2 0.5000 0.0000 0.5000  8 Pd 2.83, 2 Cd 2.97
Pd1 0.5000 0.0000 0.0000  4 Hg 2.83, 2 Cd 2.83, 4 Pd 2.97
Pd2 0.5000 0.5000 0.5000  4 Hg 2.83, 2 Cd 2.83, 4 Pd 2.97
Pd3 0.0000 0.0000 0.5000  2 Cd 2.83, 4 Hg 2.83, 4 Pd 2.97
Pd4 0.0000 0.5000 0.0000  4 Hg 2.83, 2 Cd 2.83, 4 Pd 2.97